a) LiSn2Se2, relaxed, DFT PBE-GGA; spin magnetization = 0.000 μB/cell
1.0
-0.733 2.429 -5.033
-5.501 -1.206 0.219
-3.883 4.462 -0.437
Sn Se Li
2 2 1
Direct
0.332 0.332 0.336 Sn
0.668 0.668 0.664 Sn
0.750 0.250 0.500 Se
0.250 0.750 0.500 Se
0.000 0.000 0.000 Li

---

b) LiSn2Se2, relaxed, DFT PBE-GGA; spin magnetization = 0.000 μB/cell
1.0
-1.724 0.031 7.337
-7.167 -1.623 -1.677
0.921 -4.310 0.235
Sn Se Li
4 4 2
Direct
0.150 0.650 0.500 Sn
0.650 0.850 0.500 Sn
0.850 0.350 0.500 Sn
0.350 0.150 0.500 Sn
0.317 0.817 0.000 Se
0.817 0.683 0.000 Se
0.683 0.183 0.000 Se
0.183 0.317 0.000 Se
0.000 0.000 0.000 Li
0.500 0.500 0.000 Li

---

Short version: b), a), most stable first.

---

a) LiSn2Se4, relaxed, DFT PBE-GGA; spin magnetization = 0.000 μB/cell
1.0
8.035 0.000 0.000
-4.017 6.582 -2.294
0.000 -0.089 13.943
Li Sn Se
4 8 16
Direct
0.938 0.375 0.312 Li
0.437 0.375 0.812 Li
0.563 0.625 0.188 Li
0.062 0.625 0.688 Li
0.500 0.000 0.000 Sn
0.000 0.000 0.500 Sn
0.000 0.500 0.000 Sn
0.500 0.500 0.500 Sn
0.250 0.000 0.250 Sn
0.750 0.000 0.750 Sn
0.500 0.000 0.500 Sn
0.000 0.000 0.000 Sn
0.369 0.754 0.123 Se
0.869 0.754 0.623 Se
0.131 0.246 0.377 Se
0.631 0.246 0.877 Se
0.131 0.762 0.376 Se
0.631 0.762 0.876 Se
0.627 0.753 0.381 Se
0.127 0.753 0.881 Se
0.885 0.754 0.123 Se
0.385 0.754 0.623 Se
0.873 0.247 0.119 Se
0.373 0.247 0.619 Se
0.369 0.238 0.124 Se
0.869 0.238 0.624 Se
0.615 0.246 0.377 Se
0.115 0.246 0.877 Se

---

b) LiSn2Se4, relaxed, DFT PBE-GGA; spin magnetization = 0.000 μB/cell
1.0
-1.380 3.750 -0.036
-3.529 -3.382 4.802
9.161 3.458 9.167
Li Sn Se
2 4 8
Direct
0.578 0.156 0.750 Li
0.422 0.844 0.250 Li
0.139 0.278 0.428 Sn
0.861 0.722 0.928 Sn
0.139 0.278 0.072 Sn
0.861 0.722 0.572 Sn
0.776 0.551 0.121 Se
0.776 0.551 0.379 Se
0.224 0.449 0.879 Se
0.224 0.449 0.621 Se
0.957 0.913 0.750 Se
0.043 0.087 0.250 Se
0.500 0.000 0.000 Se
0.500 0.000 0.500 Se

---

Short version: a), b), most stable first.

---

a) SrLiSe, relaxed, DFT PBE-GGA; spin magnetization = 0.000 μB/cell
1.0
-4.656 1.592 0.719
-3.636 -1.488 -3.049
-3.481 -3.153 1.634
Li Se Sr
1 1 1
Direct
0.500 0.500 0.500 Li
0.750 0.750 0.750 Se
0.000 0.000 0.000 Sr

---

b) SrLiSe, relaxed, DFT PBE-GGA; spin magnetization = 0.000 μB/cell
1.0
5.114 0.000 0.000
2.557 4.429 0.000
2.557 1.476 4.175
Li Se Sr
1 1 1
Direct
0.000 0.000 0.000 Li
0.500 0.500 0.500 Se
0.750 0.750 0.750 Sr

---

Short version: a), b), most stable first.